1.
# Gd2GaI, relaxed, DFT PBE-GGA
data_Gd2GaI
_symmetry_space_group_name_H-M 'R -3 m'
_symmetry_Int_Tables_number 166
_symmetry_space_group_name_Hall '-R 3 2"'
_cell_length_a 4.3272
_cell_length_b 4.3272
_cell_length_c 22.3676
_cell_angle_alpha 90.00
_cell_angle_beta 90.00
_cell_angle_gamma 120.00
loop_
_atom_site_label
_atom_site_type_symbol
_atom_site_fract_x
_atom_site_fract_y
_atom_site_fract_z
Gd1 Gd 0.0000 0.0000 0.2343
Ga1 Ga 0.0000 0.0000 0.5000
I1 I 0.0000 0.0000 0.0000
# * E_form (uncorrected): -721 meV per atom
# * total moment: 3.558 μB per atom
# * energy above the most stable polymorph in this dataset: 0.000 eV per formula unit

=====

2.
# HfNi2As2, relaxed, DFT PBE-GGA
data_HfNi2As2
_symmetry_space_group_name_H-M 'P 4/m b m'
_symmetry_Int_Tables_number 127
_symmetry_space_group_name_Hall '-P 4 2ab'
_cell_length_a 7.1169
_cell_length_b 7.1169
_cell_length_c 2.9693
_cell_angle_alpha 90.00
_cell_angle_beta 90.00
_cell_angle_gamma 90.00
loop_
_atom_site_label
_atom_site_type_symbol
_atom_site_fract_x
_atom_site_fract_y
_atom_site_fract_z
Hf1 Hf 0.0000 0.0000 0.0000
Ni1 Ni 0.1399 0.3601 0.5000
As1 As 0.1524 0.6524 0.0000
# * calculated formation energy: -0.32 eV/atom
# * total moment: 0.000 μB per atom

=====

3.
# AlZnSb2, relaxed, DFT PBE-GGA
data_AlZnSb2
_symmetry_space_group_name_H-M 'C m m 2'
_symmetry_Int_Tables_number 35
_cell_length_a 3.8490
_cell_length_b 4.9305
_cell_length_c 9.5602
_cell_angle_alpha 90.00
_cell_angle_beta 90.00
_cell_angle_gamma 90.00
loop_
_symmetry_equiv_pos_as_xyz
'x,y,z'
'-x,-y,z'
'-x,y,z'
'x,-y,z'
'x+1/2,y+1/2,z'
'-x+1/2,-y+1/2,z'
'-x+1/2,y+1/2,z'
'x+1/2,-y+1/2,z'
loop_
_atom_site_label
_atom_site_type_symbol
_atom_site_fract_x
_atom_site_fract_y
_atom_site_fract_z
Al1 Al 0.0000 0.0000 0.0000
Zn1 Zn 0.0000 0.5000 0.8051
Sb1 Sb 0.0000 0.0000 0.5745
Sb2 Sb 0.0000 0.5000 0.2383
# * E_form (uncorrected): 174 meV per atom
# * total moment: 0.000 μB per atom
# * energy above the most stable polymorph in this dataset: 0.732 eV per formula unit

=====

4.
# LaAlS, relaxed, DFT PBE-GGA
data_LaAlS
_symmetry_space_group_name_H-M 'R -3 m'
_symmetry_Int_Tables_number 166
_symmetry_space_group_name_Hall '-R 3 2"'
_cell_length_a 4.5960
_cell_length_b 4.5960
_cell_length_c 26.3083
_cell_angle_alpha 90.00
_cell_angle_beta 90.00
_cell_angle_gamma 120.00
loop_
_atom_site_label
_atom_site_type_symbol
_atom_site_fract_x
_atom_site_fract_y
_atom_site_fract_z
La1 La 0.0000 0.0000 0.0931
Al1 Al 0.0000 0.0000 0.3355
S1 S 0.0000 0.0000 0.2068
# * E_form (uncorrected): -1199 meV per atom
# * total moment: 0.000 μB per atom

=====

5.
# NaPr3Bi4, relaxed, DFT PBE-GGA
data_NaPr3Bi4
_symmetry_space_group_name_H-M 'P m -3 m'
_symmetry_Int_Tables_number 221
_symmetry_space_group_name_Hall '-P 4 2 3'
_cell_length_a 6.5668
_cell_length_b 6.5668
_cell_length_c 6.5668
_cell_angle_alpha 90.00
_cell_angle_beta 90.00
_cell_angle_gamma 90.00
loop_
_atom_site_label
_atom_site_type_symbol
_atom_site_fract_x
_atom_site_fract_y
_atom_site_fract_z
Na1 Na 0.0000 0.0000 0.0000
Pr1 Pr 0.0000 0.5000 0.5000
Bi1 Bi 0.0000 0.0000 0.5000
Bi2 Bi 0.5000 0.5000 0.5000
# * calculated formation energy: -0.65 eV/atom
# * total moment: 0.000 μB per atom

=====

6.
# Ba2Zn3Ge4Rh, relaxed, DFT PBE-GGA
data_Ba2Zn3Ge4Rh
_symmetry_space_group_name_H-M 'P -4 m 2'
_symmetry_Int_Tables_number 115
_cell_length_a 4.5085
_cell_length_b 4.5085
_cell_length_c 10.7581
_cell_angle_alpha 90.00
_cell_angle_beta 90.00
_cell_angle_gamma 90.00
loop_
_symmetry_equiv_pos_as_xyz
'x,y,z'
'y,-x,-z'
'-x,-y,z'
'-y,x,-z'
'-x,y,z'
'-y,-x,-z'
'x,-y,z'
'y,x,-z'
loop_
_atom_site_label
_atom_site_type_symbol
_atom_site_fract_x
_atom_site_fract_y
_atom_site_fract_z
Ba1 Ba 0.0000 0.5000 0.2467
Zn1 Zn 0.0000 0.0000 0.0000
Zn2 Zn 0.0000 0.5000 0.6318
Ge1 Ge 0.0000 0.0000 0.5000
Ge2 Ge 0.0000 0.5000 0.8840
Ge3 Ge 0.5000 0.5000 0.5000
Rh1 Rh 0.5000 0.5000 0.0000
# * calculated formation energy: -0.40 eV/atom
# * total moment: 0.000 μB per atom